1.
Below is a relaxed structure of Tb12HoAl3, with properties calculated at the GGA-PBE level.

```
Tb12HoAl3
1.0
4.811 0.000 0.000
0.000 4.811 0.000
0.000 0.000 19.589
Tb Ho Al
12 1 3
Direct
0.000 0.000 0.000
0.000 0.000 0.244
0.000 0.000 0.500
0.000 0.000 0.756
0.000 0.500 0.122
0.000 0.500 0.366
0.000 0.500 0.634
0.000 0.500 0.878
0.500 0.000 0.122
0.500 0.000 0.366
0.500 0.000 0.634
0.500 0.000 0.878
0.500 0.500 0.500
0.500 0.500 0.000
0.500 0.500 0.242
0.500 0.500 0.758
```

Energy of formation in eV/atom: -0.126
Density of states at the Fermi level in states/eV per atom: 1.21



2.
Below is a relaxed structure of TePb2ClF, with properties calculated at the GGA-PBE level.

```
TePb2ClF
1.0
7.737 -2.177 0.000
7.737 2.177 0.000
-0.886 0.000 9.450
Te Pb Cl F
2 4 2 2
Direct
0.181 0.181 0.172
0.819 0.819 0.828
0.168 0.168 0.822
0.357 0.357 0.586
0.643 0.643 0.414
0.832 0.832 0.178
0.456 0.456 0.304
0.544 0.544 0.696
0.193 0.193 0.557
0.807 0.807 0.443
```

Density of states at the Fermi level in states/eV per atom: 0.00
Formation energy without anion corrections in meV/atom: -1168.6



3.
Below is a relaxed structure of Sr2CaInAu6, with properties calculated at the GGA-PBE level.

```
Sr2CaInAu6
1.0
0.000 5.397 5.397
5.397 0.000 5.397
5.397 5.397 0.000
Sr Ca In Au
2 1 1 6
Direct
0.250 0.250 0.250
0.750 0.750 0.750
0.000 0.000 0.000
0.500 0.500 0.500
0.254 0.254 0.746
0.254 0.746 0.254
0.254 0.746 0.746
0.746 0.254 0.254
0.746 0.254 0.746
0.746 0.746 0.254
```

Energy of formation in eV/atom: -0.193
Density of states at the Fermi level in states/eV per atom: 0.38



4.
Below is a relaxed structure of RbIn3Tc, with properties calculated at the GGA-PBE level.

```
RbIn3Tc
1.0
6.040 0.000 0.000
0.000 6.040 0.000
0.000 0.000 6.040
Rb In Tc
1 3 1
Direct
0.000 0.000 0.000
0.000 0.000 0.500
0.000 0.500 0.000
0.500 0.000 0.000
0.500 0.500 0.500
```

Energy of formation in eV/atom: 1.878
Energy above the most stable polymorph in this dataset in eV/atom: 1.8644
Density of states at the Fermi level in states/eV per atom: 1.25



5.
Below is a relaxed structure of Nd8Mg, with properties calculated at the GGA-PBE level.

```
Nd8Mg
1.0
-6.354 6.354 1.899
6.354 -6.354 1.899
6.354 6.354 -1.899
Nd Mg
8 1
Direct
0.000 0.333 0.333
0.000 0.667 0.667
0.333 0.000 0.333
0.342 0.342 0.684
0.342 0.658 0.000
0.658 0.342 0.000
0.658 0.658 0.316
0.667 0.000 0.667
0.000 0.000 0.000
```

Energy of formation in eV/atom: 0.057
Energy above the most stable polymorph in this dataset in eV/atom: 0.0418
Density of states at the Fermi level in states/eV per atom: 1.68



6.
Below is a relaxed structure of AcNd5Dy3, with properties calculated at the GGA-PBE level.

```
AcNd5Dy3
1.0
6.399 -5.835 0.000
6.399 5.835 0.000
-2.815 0.000 9.788
Ac Nd Dy
2 10 6
Direct
0.249 0.249 0.246
0.751 0.751 0.754
0.140 0.646 0.088
0.242 0.242 0.585
0.244 0.756 0.500
0.260 0.260 0.913
0.354 0.860 0.912
0.646 0.140 0.088
0.740 0.740 0.087
0.756 0.244 0.500
0.758 0.758 0.415
0.860 0.354 0.912
0.000 0.000 0.000
0.003 0.003 0.670
0.486 0.486 0.823
0.500 0.500 0.500
0.514 0.514 0.177
0.997 0.997 0.330
```

Energy of formation in eV/atom: 0.497
Energy above the most stable polymorph in this dataset in eV/atom: 0.3571
Density of states at the Fermi level in states/eV per atom: 1.46